Here is an optimized crystal structure of CoPtSN2 from the Alexandria database. Energies are from PBE.

Output
DOS(E_F)	4.5	states/eV per cell
formation energy from raw total energies	5.20	eV per formula unit
offset from the most stable computed form	0.0	meV per atom
crystal system	tetragonal
electronic total energy	-5.7442	eV per atom

Unit cell a=3.427 b=3.427 c=7.627 alpha=90.00 beta=90.00 gamma=90.00
Atoms (fractional coordinates):
S: 0.000 0.000 0.500
Co: 0.000 0.000 0.000
Pt: 0.500 0.500 0.500
N: 0.000 0.500 0.000
N: 0.500 0.000 0.000


Here is an optimized crystal structure of Co2SbPtN from the Alexandria database. Energies are from PBE.

Output
DOS(E_F)	9.0	states/eV per cell
formation energy from raw total energies	11.39	eV per formula unit
crystal system	tetragonal
electronic total energy	-4.2625	eV per atom

Unit cell a=4.675 b=4.929 c=4.675 alpha=90.00 beta=90.00 gamma=90.00
Atoms (fractional coordinates):
Sb: 0.000 0.000 0.000
Co: 0.000 0.000 0.500
Co: 0.500 0.000 0.000
Pt: 0.000 0.500 0.000
N: 0.500 0.500 0.500


Which of these has the highest electronic total energy? Co2SbPtN